Density functional theory data (PBE+U) for a relaxed CsCuW2O8 crystal.

Output
- crystal system = monoclinic
- electronic total energy (eV/atom) = -6.4868
- theoretical density (g/cm³) = 4.799
- V (Å³ per cell) = 239

Geometry as POSCAR:
```
CsCuW2O8
1.0
6.0148 -2.7479 0.0000
6.0148 2.7479 0.0000
-3.9009 0.0000 7.2452
Cs Cu W O
1 1 2 8
direct
0.0000 0.0000 0.0000
0.5000 0.5000 0.5000
0.1859 0.1859 0.6368
0.8141 0.8141 0.3632
0.1676 0.6334 0.3352
0.1893 0.1893 0.4228
0.3408 0.3408 0.8253
0.3666 0.8324 0.6648
0.6334 0.1676 0.3352
0.6592 0.6592 0.1747
0.8107 0.8107 0.5772
0.8324 0.3666 0.6648
```